A relaxed Pr4Nd2Ho2Er crystal. Source: Alexandria via LeMat-Bulk, functional PBE.

Cell and atoms, written as CIF:
```
data_Pr4Nd2Ho2Er
_chemical_formula_sum 'Pr8 Nd4 Ho4 Er2'
_cell_length_a 15.5015
_cell_length_b 5.1677
_cell_length_c 8.1109
_cell_angle_alpha 90.00
_cell_angle_beta 108.63
_cell_angle_gamma 90.00
_symmetry_space_group_name_H-M 'C 1 2/m 1'
_symmetry_Int_Tables_number 12
loop_
_symmetry_equiv_pos_as_xyz
'x,y,z'
'-x,-y,-z'
'-x,y,-z'
'x,-y,z'
'x+1/2,y+1/2,z'
'-x+1/2,-y+1/2,-z'
'-x+1/2,y+1/2,-z'
'x+1/2,-y+1/2,z'
loop_
_atom_site_label
_atom_site_fract_x
_atom_site_fract_y
_atom_site_fract_z
Pr1 0.0547 0.0000 0.3296
Pr2 0.2217 0.5000 0.3294
Nd1 0.1116 0.5000 0.6708
Ho1 0.1667 0.0000 0.9998
Er1 0.0000 0.5000 0.0000
```

---

A relaxed PrNdHoEr crystal. Source: Alexandria via LeMat-Bulk, functional PBE.

Cell and atoms, written as CIF:
```
data_PrNdHoEr
_chemical_formula_sum 'Pr4 Nd4 Ho4 Er4'
_cell_length_a 8.1182
_cell_length_b 8.1182
_cell_length_c 8.1182
_cell_angle_alpha 90.00
_cell_angle_beta 90.00
_cell_angle_gamma 90.00
_symmetry_space_group_name_H-M 'F -4 3 m'
_symmetry_Int_Tables_number 216
_symmetry_space_group_name_Hall 'F -4 2 3'
loop_
_atom_site_label
_atom_site_fract_x
_atom_site_fract_y
_atom_site_fract_z
Pr1 0.0000 0.0000 0.0000
Nd1 0.0000 0.0000 0.5000
Ho1 0.2500 0.2500 0.2500
Er1 0.2500 0.2500 0.7500
```

Distance to the lowest polymorph of the same formula = 82 meV per atom

---

A relaxed PrNd3Ho6Er2 crystal. Source: Alexandria via LeMat-Bulk, functional PBE.

Cell and atoms, written as CIF:
```
data_PrNd3Ho6Er2
_chemical_formula_sum 'Pr2 Nd6 Ho12 Er4'
_cell_length_a 6.1996
_cell_length_b 10.7331
_cell_length_c 11.8137
_cell_angle_alpha 90.00
_cell_angle_beta 100.04
_cell_angle_gamma 90.00
_symmetry_space_group_name_H-M 'C 1 2/m 1'
_symmetry_Int_Tables_number 12
loop_
_symmetry_equiv_pos_as_xyz
'x,y,z'
'-x,-y,-z'
'-x,y,-z'
'x,-y,z'
'x+1/2,y+1/2,z'
'-x+1/2,-y+1/2,-z'
'-x+1/2,y+1/2,-z'
'x+1/2,-y+1/2,z'
loop_
_atom_site_label
_atom_site_fract_x
_atom_site_fract_y
_atom_site_fract_z
Pr1 0.0000 0.0000 0.0000
Nd1 0.0000 0.1669 0.5000
Nd2 0.0000 0.5000 0.5000
Ho1 0.2487 0.5000 0.2476
Ho2 0.2501 0.1671 0.2476
Er1 0.0000 0.3332 0.0000
```

---

A relaxed Nd3Ho2Er6Pu crystal. Source: Alexandria via LeMat-Bulk, functional PBE.

Cell and atoms, written as CIF:
```
data_Nd3Ho2Er6Pu
_chemical_formula_sum 'Nd6 Ho4 Er12 Pu2'
_cell_length_a 6.1431
_cell_length_b 10.6408
_cell_length_c 11.6620
_cell_angle_alpha 90.00
_cell_angle_beta 100.12
_cell_angle_gamma 90.00
_symmetry_space_group_name_H-M 'C 1 2/m 1'
_symmetry_Int_Tables_number 12
loop_
_symmetry_equiv_pos_as_xyz
'x,y,z'
'-x,-y,-z'
'-x,y,-z'
'x,-y,z'
'x+1/2,y+1/2,z'
'-x+1/2,-y+1/2,-z'
'-x+1/2,y+1/2,-z'
'x+1/2,-y+1/2,z'
loop_
_atom_site_label
_atom_site_fract_x
_atom_site_fract_y
_atom_site_fract_z
Nd1 0.0000 0.0000 0.0000
Nd2 0.0000 0.3327 0.0000
Ho1 0.0000 0.1666 0.5000
Er1 0.2463 0.3356 0.7443
Er2 0.2472 0.5000 0.2556
Pu1 0.0000 0.5000 0.5000
```

---

A relaxed Nd2Ho3Er6Pu crystal. Source: Alexandria via LeMat-Bulk, functional PBE.

Cell and atoms, written as CIF:
```
data_Nd2Ho3Er6Pu
_chemical_formula_sum 'Nd4 Ho6 Er12 Pu2'
_cell_length_a 6.1198
_cell_length_b 10.6063
_cell_length_c 11.6524
_cell_angle_alpha 90.00
_cell_angle_beta 100.12
_cell_angle_gamma 90.00
_symmetry_space_group_name_H-M 'C 1 2/m 1'
_symmetry_Int_Tables_number 12
loop_
_symmetry_equiv_pos_as_xyz
'x,y,z'
'-x,-y,-z'
'-x,y,-z'
'x,-y,z'
'x+1/2,y+1/2,z'
'-x+1/2,-y+1/2,-z'
'-x+1/2,y+1/2,-z'
'x+1/2,-y+1/2,z'
loop_
_atom_site_label
_atom_site_fract_x
_atom_site_fract_y
_atom_site_fract_z
Nd1 0.0000 0.1666 0.0000
Ho1 0.0000 0.0000 0.5000
Ho2 0.0000 0.3331 0.5000
Er1 0.2458 0.5000 0.7487
Er2 0.2476 0.3356 0.2511
Pu1 0.0000 0.5000 0.0000
```

---

A relaxed Nd3Ho6Er2Pu crystal. Source: Alexandria via LeMat-Bulk, functional PBE.

Cell and atoms, written as CIF:
```
data_Nd3Ho6Er2Pu
_chemical_formula_sum 'Nd6 Ho12 Er4 Pu2'
_cell_length_a 6.1518
_cell_length_b 10.6578
_cell_length_c 11.7016
_cell_angle_alpha 90.00
_cell_angle_beta 100.12
_cell_angle_gamma 90.00
_symmetry_space_group_name_H-M 'C 1 2/m 1'
_symmetry_Int_Tables_number 12
loop_
_symmetry_equiv_pos_as_xyz
'x,y,z'
'-x,-y,-z'
'-x,y,-z'
'x,-y,z'
'x+1/2,y+1/2,z'
'-x+1/2,-y+1/2,-z'
'-x+1/2,y+1/2,-z'
'x+1/2,-y+1/2,z'
loop_
_atom_site_label
_atom_site_fract_x
_atom_site_fract_y
_atom_site_fract_z
Nd1 0.0000 0.0000 0.0000
Nd2 0.0000 0.3328 0.0000
Ho1 0.2459 0.3354 0.7439
Ho2 0.2481 0.5000 0.2558
Er1 0.0000 0.1666 0.5000
Pu1 0.0000 0.5000 0.5000
```

---

Let's list energy of formation from the pure elements in order: 0.023 0.104 0.018 0.043 0.049 0.044 eV per atom.
Let's list E_tot in order: -4.6847 -4.5681 -4.6213 -5.3879 -5.3659 -5.3917 eV/atom.
Let's list size of the total moment in order: 0.00 0.00 0.00 6.52 6.25 6.55 μB per formula unit.